Record 1
# K2NaAgH | Alexandria | PBE | relaxed
data_K2NaAgH
_chemical_formula_sum 'K2 Na1 Ag1 H1'
_symmetry_space_group_name_H-M 'P 4/m m m'
_symmetry_Int_Tables_number 123
_symmetry_space_group_name_Hall '-P 4 2'
_cell_length_a 5.533
_cell_length_b 5.533
_cell_length_c 4.826
_cell_angle_alpha 90.00
_cell_angle_beta 90.00
_cell_angle_gamma 90.00
loop_
_atom_site_label
_atom_site_fract_x
_atom_site_fract_y
_atom_site_fract_z
K1 0.000 0.500 0.000
Na1 0.000 0.000 0.500
Ag1 0.500 0.500 0.500
H1 0.000 0.000 0.000
# **Final energy**: -1.93 eV/atom

---

Record 2
# K3NaAg2H6 | Alexandria | PBE | relaxed
data_K3NaAg2H6
_chemical_formula_sum 'K3 Na1 Ag2 H6'
_symmetry_space_group_name_H-M 'P -3 m 1'
_symmetry_Int_Tables_number 164
_symmetry_space_group_name_Hall '-P 3 2"'
_cell_length_a 6.1226
_cell_length_b 6.1226
_cell_length_c 7.0931
_cell_angle_alpha 90.00
_cell_angle_beta 90.00
_cell_angle_gamma 120.00
loop_
_atom_site_label
_atom_site_fract_x
_atom_site_fract_y
_atom_site_fract_z
K1 0.0000 0.0000 0.0000
K2 0.3333 0.6667 0.7188
Na1 0.0000 0.0000 0.5000
Ag1 0.3333 0.6667 0.2641
H1 0.1660 0.3320 0.2751
# **Final energy**: -2.65 eV/atom

---

Record 3
# K2NiAgH6 | Alexandria | PBE | relaxed
data_K2NiAgH6
_chemical_formula_sum 'K2 Ni1 Ag1 H6'
_symmetry_space_group_name_H-M 'P -3 m 1'
_symmetry_Int_Tables_number 164
_symmetry_space_group_name_Hall '-P 3 2"'
_cell_length_a 5.7210
_cell_length_b 5.7210
_cell_length_c 5.0765
_cell_angle_alpha 90.00
_cell_angle_beta 90.00
_cell_angle_gamma 120.00
loop_
_atom_site_label
_atom_site_fract_x
_atom_site_fract_y
_atom_site_fract_z
K1 0.3333 0.6667 0.2801
Ni1 0.0000 0.0000 0.5000
Ag1 0.0000 0.0000 0.0000
H1 0.1308 0.2617 0.6867
# **Final energy**: -3.20 eV/atom

---

Record 4
# K2AgHPd | Alexandria | PBE | relaxed
data_K2AgHPd
_chemical_formula_sum 'K2 Ag1 H1 Pd1'
_symmetry_space_group_name_H-M 'P 4/m m m'
_symmetry_Int_Tables_number 123
_symmetry_space_group_name_Hall '-P 4 2'
_cell_length_a 5.958
_cell_length_b 5.958
_cell_length_c 3.495
_cell_angle_alpha 90.00
_cell_angle_beta 90.00
_cell_angle_gamma 90.00
loop_
_atom_site_label
_atom_site_fract_x
_atom_site_fract_y
_atom_site_fract_z
K1 0.000 0.500 0.000
Ag1 0.000 0.000 0.500
H1 0.500 0.500 0.000
Pd1 0.500 0.500 0.500
# **Final energy**: -2.76 eV/atom

---

Record 5
# K2AgH4Pd | Alexandria | PBE | relaxed
data_K2AgH4Pd
_chemical_formula_sum 'K16 Ag8 H32 Pd8'
_symmetry_space_group_name_H-M 'F d d d'
_symmetry_Int_Tables_number 70
_cell_length_a 5.320
_cell_length_b 11.781
_cell_length_c 19.803
_cell_angle_alpha 90.00
_cell_angle_beta 90.00
_cell_angle_gamma 90.00
loop_
_symmetry_equiv_pos_as_xyz
'x,y,z'
'-x,-y,-z'
'-x+1/4,-y+1/4,z'
'x+1/4,y+1/4,-z'
'x,-y+1/4,-z+1/4'
'-x,y+1/4,z+1/4'
'-x+1/4,y,-z+1/4'
'x+1/4,-y,z+1/4'
'x,y+1/2,z+1/2'
'-x,-y+1/2,-z+1/2'
'-x+1/4,-y+3/4,z+1/2'
'x+1/4,y+3/4,-z+1/2'
'x,-y+3/4,-z+3/4'
'-x,y+3/4,z+3/4'
'-x+1/4,y+1/2,-z+3/4'
'x+1/4,-y+1/2,z+3/4'
'x+1/2,y,z+1/2'
'-x+1/2,-y,-z+1/2'
'-x+3/4,-y+1/4,z+1/2'
'x+3/4,y+1/4,-z+1/2'
'x+1/2,-y+1/4,-z+3/4'
'-x+1/2,y+1/4,z+3/4'
'-x+3/4,y,-z+3/4'
'x+3/4,-y,z+3/4'
'x+1/2,y+1/2,z'
'-x+1/2,-y+1/2,-z'
'-x+3/4,-y+3/4,z'
'x+3/4,y+3/4,-z'
'x+1/2,-y+3/4,-z+1/4'
'-x+1/2,y+3/4,z+1/4'
'-x+3/4,y+1/2,-z+1/4'
'x+3/4,-y+1/2,z+1/4'
loop_
_atom_site_label
_atom_site_fract_x
_atom_site_fract_y
_atom_site_fract_z
K1 0.125 0.125 0.297
Ag1 0.125 0.125 0.125
H1 0.097 0.276 0.850
Pd1 0.125 0.125 0.625
# **Final energy**: -3.06 eV/atom

---

Record 6
# KAgH6Pt | Alexandria | PBE | relaxed
data_KAgH6Pt
_chemical_formula_sum 'K1 Ag1 H6 Pt1'
_symmetry_space_group_name_H-M 'P 3 1 2'
_symmetry_Int_Tables_number 149
_cell_length_a 5.0620
_cell_length_b 5.0620
_cell_length_c 5.2977
_cell_angle_alpha 90.00
_cell_angle_beta 90.00
_cell_angle_gamma 120.00
loop_
_symmetry_equiv_pos_as_xyz
'x,y,z'
'-y,x-y,z'
'-x+y,-x,z'
'-y,-x,-z'
'-x+y,y,-z'
'x,x-y,-z'
loop_
_atom_site_label
_atom_site_fract_x
_atom_site_fract_y
_atom_site_fract_z
K1 0.0000 0.0000 0.0000
Ag1 0.3333 0.6667 0.5000
H1 0.4079 0.0602 0.6844
Pt1 0.6667 0.3333 0.5000
# **Final energy**: -3.52 eV/atom

---

Record 7
# K2AgH6Pt | Alexandria | PBE | relaxed
data_K2AgH6Pt
_chemical_formula_sum 'K2 Ag1 H6 Pt1'
_symmetry_space_group_name_H-M 'P -3 m 1'
_symmetry_Int_Tables_number 164
_symmetry_space_group_name_Hall '-P 3 2"'
_cell_length_a 5.7085
_cell_length_b 5.7085
_cell_length_c 5.3833
_cell_angle_alpha 90.00
_cell_angle_beta 90.00
_cell_angle_gamma 120.00
loop_
_atom_site_label
_atom_site_fract_x
_atom_site_fract_y
_atom_site_fract_z
K1 0.3333 0.6667 0.2707
Ag1 0.0000 0.0000 0.0000
H1 0.1414 0.2829 0.6847
Pt1 0.0000 0.0000 0.5000
# **Final energy**: -3.30 eV/atom

---

Record 8
# K2RbAgH | Alexandria | PBE | relaxed
data_K2RbAgH
_chemical_formula_sum 'K2 Rb1 Ag1 H1'
_symmetry_space_group_name_H-M 'P 4/m m m'
_symmetry_Int_Tables_number 123
_symmetry_space_group_name_Hall '-P 4 2'
_cell_length_a 5.463
_cell_length_b 5.463
_cell_length_c 5.913
_cell_angle_alpha 90.00
_cell_angle_beta 90.00
_cell_angle_gamma 90.00
loop_
_atom_site_label
_atom_site_fract_x
_atom_site_fract_y
_atom_site_fract_z
K1 0.000 0.500 0.000
Rb1 0.000 0.000 0.500
Ag1 0.500 0.500 0.500
H1 0.000 0.000 0.000
# **Final energy**: -1.86 eV/atom

---

Record 9
# KAgH6Rh | Alexandria | PBE | relaxed
data_KAgH6Rh
_chemical_formula_sum 'K2 Ag2 H12 Rh2'
_symmetry_space_group_name_H-M 'C 1 2 1'
_symmetry_Int_Tables_number 5
_cell_length_a 4.602
_cell_length_b 9.316
_cell_length_c 5.178
_cell_angle_alpha 90.00
_cell_angle_beta 90.03
_cell_angle_gamma 90.00
loop_
_symmetry_equiv_pos_as_xyz
'x,y,z'
'-x,y,-z'
'x+1/2,y+1/2,z'
'-x+1/2,y+1/2,-z'
loop_
_atom_site_label
_atom_site_fract_x
_atom_site_fract_y
_atom_site_fract_z
K1 0.000 0.000 0.000
Ag1 0.000 0.334 0.500
H1 0.002 0.506 0.272
H2 0.183 0.736 0.294
H3 0.193 0.731 0.706
Rh1 0.000 0.637 0.500
# **Final energy**: -3.53 eV/atom

---

Record 10
# K2AgH6Rh | Alexandria | PBE | relaxed
data_K2AgH6Rh
_chemical_formula_sum 'K2 Ag1 H6 Rh1'
_symmetry_space_group_name_H-M 'P -3 m 1'
_symmetry_Int_Tables_number 164
_symmetry_space_group_name_Hall '-P 3 2"'
_cell_length_a 5.7045
_cell_length_b 5.7045
_cell_length_c 5.3340
_cell_angle_alpha 90.00
_cell_angle_beta 90.00
_cell_angle_gamma 120.00
loop_
_atom_site_label
_atom_site_fract_x
_atom_site_fract_y
_atom_site_fract_z
K1 0.3333 0.6667 0.2143
Ag1 0.0000 0.0000 0.5000
H1 0.1402 0.2805 0.8201
Rh1 0.0000 0.0000 0.0000
# **Final energy**: -3.51 eV/atom

---

Record 11
# KAgSnH2 | Alexandria | PBE | relaxed
data_KAgSnH2
_chemical_formula_sum 'K1 Ag1 Sn1 H2'
_symmetry_space_group_name_H-M 'P 4/m m m'
_symmetry_Int_Tables_number 123
_symmetry_space_group_name_Hall '-P 4 2'
_cell_length_a 4.236
_cell_length_b 4.236
_cell_length_c 7.233
_cell_angle_alpha 90.00
_cell_angle_beta 90.00
_cell_angle_gamma 90.00
loop_
_atom_site_label
_atom_site_fract_x
_atom_site_fract_y
_atom_site_fract_z
K1 0.000 0.000 0.000
Ag1 0.500 0.500 0.000
Sn1 0.000 0.000 0.500
H1 0.000 0.500 0.500
# **Final energy**: -2.35 eV/atom

---

Record 12
# K2SrAg2H6 | Alexandria | PBE | relaxed
data_K2SrAg2H6
_chemical_formula_sum 'K4 Sr2 Ag4 H12'
_symmetry_space_group_name_H-M 'C 1 2/m 1'
_symmetry_Int_Tables_number 12
_cell_length_a 10.485
_cell_length_b 5.968
_cell_length_c 7.015
_cell_angle_alpha 90.00
_cell_angle_beta 116.40
_cell_angle_gamma 90.00
loop_
_symmetry_equiv_pos_as_xyz
'x,y,z'
'-x,-y,-z'
'-x,y,-z'
'x,-y,z'
'x+1/2,y+1/2,z'
'-x+1/2,-y+1/2,-z'
'-x+1/2,y+1/2,-z'
'x+1/2,-y+1/2,z'
loop_
_atom_site_label
_atom_site_fract_x
_atom_site_fract_y
_atom_site_fract_z
K1 0.204 0.000 0.167
Sr1 0.000 0.000 0.500
Ag1 0.053 0.500 0.250
H1 0.049 0.246 0.803
H2 0.242 0.500 0.371
# **Final energy**: -2.88 eV/atom

---

no.,magnetic moment (Bohr magnetons per cell)
1,0.42
2,0.00
3,0.00
4,0.00
5,0.00
6,0.00
7,0.00
8,0.01
9,0.00
10,0.00
11,0.00
12,0.00